(1)
Material: Sr2Ho3Se6
Method: DFT, GGA-PBE
State: optimized geometry

E_tot	-5.394	eV/atom

a b c (Å): 7.165 7.160 7.546
angles (deg): 80.92 71.61 59.98
Sites, in units of the cell vectors:
Ho (0.666, 0.668, 0.000)
Se (0.592, 0.333, 0.225)
Ho (0.000, 0.000, 0.000)
Ho (0.334, 0.332, 0.000)
Se (0.075, 0.333, 0.775)
Se (0.925, 0.667, 0.225)
Sr (0.833, 0.334, 0.500)
Se (0.742, 0.000, 0.773)
Se (0.258, 0.000, 0.227)
Sr (0.167, 0.666, 0.500)
Se (0.408, 0.667, 0.775)

(2)
Material: Zr2TiAg2
Method: DFT, GGA-PBE
State: optimized geometry

energy relative to the lowest polymorph listed for this composition	1.901	eV per formula unit
E_tot	-5.766	eV/atom
E_form	0.372	eV per atom

a b c (Å): 3.703 3.703 8.335
angles (deg): 77.17 77.17 90.00
Sites, in units of the cell vectors:
Zr (0.595, 0.595, 0.811)
Ti (0.000, 0.000, 0.000)
Ag (0.250, 0.750, 0.500)
Ag (0.750, 0.250, 0.500)
Zr (0.405, 0.405, 0.189)

(3)
Material: Tb3TmBi4
Method: DFT, GGA-PBE
State: optimized geometry

energy relative to the lowest polymorph listed for this composition	0.040	eV per formula unit
E_tot	-5.090	eV/atom
E_form	-0.854	eV per atom

a b c (Å): 4.477 7.750 7.750
angles (deg): 109.46 90.00 90.00
Sites, in units of the cell vectors:
Tb (0.000, 0.500, 0.000)
Bi (0.000, 0.247, 0.247)
Bi (0.000, 0.753, 0.753)
Bi (0.500, 0.248, 0.752)
Bi (0.500, 0.752, 0.248)
Tb (0.000, 0.000, 0.500)
Tb (0.500, 0.500, 0.500)
Tm (0.500, 0.000, 0.000)

Question: The lowest E_tot belongs to which entry?
Answer: Zr2TiAg2

Question: What is the formula in the first record?
Answer: Sr2Ho3Se6

Question: The highest E_tot belongs to which entry?
Answer: Tb3TmBi4